DFT (PBE) results for a relaxed Ac6MgRu2 crystal.

Cell and atoms, written as POSCAR:
```
Ac6MgRu2
1.0
5.5390 -2.8330 0.0000
5.5390 2.8330 0.0000
-1.8890 0.0000 9.6997
Ac Mg Ru
6 1 2
Direct
0.0346 0.0346 0.3439 Ac
0.2887 0.2887 0.6562 Ac
0.3421 0.3421 0.1220 Ac
0.6579 0.6579 0.8780 Ac
0.7113 0.7113 0.3438 Ac
0.9654 0.9654 0.6561 Ac
0.0000 0.0000 0.0000 Mg
0.3946 0.3946 0.4088 Ru
0.6054 0.6054 0.5912 Ru
```

Summary:
- E (eV/f.u.) = -44.842
- energy relative to the elements (kJ per mole of atoms) = 0
- space-group type = C2/m, No. 12
- energy relative to the lowest polymorph listed for this composition (eV/atom) = 0.107